A relaxed structure of NdVO4. Source: the Alexandria database, functional PBE+U.

a = 7.4372 Å, b = 6.1866 Å, c = 6.1775 Å
α = 73.96°, β = 53.08°, γ = 52.97°
With the nearest neighbours (Å) after each atom.
Fractional positions:
Nd 0.1250 0.1250 0.1250  8 O 2.43-2.52
Nd 0.8750 0.8750 0.8750  8 O 2.43-2.52
V 0.3750 0.3750 0.3750  4 O 1.74
V 0.6250 0.6250 0.6250  4 O 1.74
O 0.2033 0.7266 0.3662  1 V 1.74
O 0.2039 0.3662 0.7266  1 V 1.74
O 0.2734 0.7967 0.7961  1 V 1.74
O 0.3662 0.2039 0.2033  1 V 1.74
O 0.6338 0.7961 0.7967  1 V 1.74
O 0.7266 0.2033 0.2039  1 V 1.74
O 0.7961 0.6338 0.2734  1 V 1.74
O 0.7967 0.2734 0.6338  1 V 1.74

Output
* space group: Fddd, No. 70
* uncorrected energy: -8.0395 eV per atom